Here is MgV after structural relaxation from Alexandria via LeMat-Bulk. Energies are from PBE-GGA.

abc: 10.4836 8.2834 6.9969
angles: 90.00 90.00 90.00
Element x y z (fractional)
1 Mg 0.0000 0.1743 0.0000
2 Mg 0.0000 0.8257 0.0000
3 Mg 0.2500 0.5757 0.2500
4 Mg 0.2500 0.9243 0.2500
5 Mg 0.0000 0.6743 0.5000
6 Mg 0.0000 0.3257 0.5000
7 Mg 0.2500 0.0757 0.7500
8 Mg 0.2500 0.4243 0.7500
9 Mg 0.5000 0.1743 0.5000
10 Mg 0.5000 0.8257 0.5000
11 Mg 0.7500 0.5757 0.7500
12 Mg 0.7500 0.9243 0.7500
13 Mg 0.5000 0.6743 0.0000
14 Mg 0.5000 0.3257 0.0000
15 Mg 0.7500 0.0757 0.2500
16 Mg 0.7500 0.4243 0.2500
17 V 0.0000 0.0000 0.3668
18 V 0.0000 0.0000 0.6332
19 V 0.2500 0.7500 0.8832
20 V 0.2500 0.7500 0.6168
21 V 0.0000 0.5000 0.8668
22 V 0.0000 0.5000 0.1332
23 V 0.2500 0.2500 0.3832
24 V 0.2500 0.2500 0.1168
25 V 0.5000 0.0000 0.8668
26 V 0.5000 0.0000 0.1332
27 V 0.7500 0.7500 0.3832
28 V 0.7500 0.7500 0.1168
29 V 0.5000 0.5000 0.3668
30 V 0.5000 0.5000 0.6332
31 V 0.7500 0.2500 0.8832
32 V 0.7500 0.2500 0.6168

Summary:
The calculation puts the electronic total energy at -4.70 eV/atom. The formation energy from the elements comes out at 0.6547 eV per atom.